No. 1
Here is crystalline Cd2Ni2B at its relaxed geometry from the Alexandria database. Energies are from PBE-GGA.

- DOS at the Fermi energy (states/eV per atom) = 0.368
- calculated total energy (Ry/atom) = -0.2876
- space group = P4/mbm
- magnetization (μB per formula unit) = 0.00
- DFT formation energy (eV/f.u.) = 0.50

Lattice parameters (Å, degrees): 5.490 5.490 4.600 90.00 90.00 90.00
Fractional positions:
Ni: 0.334 0.834 0.000
Ni: 0.834 0.666 0.000
Ni: 0.666 0.166 0.000
Ni: 0.166 0.334 0.000
B: 0.000 0.000 0.000
B: 0.500 0.500 0.000
Cd: 0.173 0.673 0.500
Cd: 0.673 0.827 0.500
Cd: 0.827 0.327 0.500
Cd: 0.327 0.173 0.500

No. 2
Here is crystalline Tm2CdSn3 at its relaxed geometry from the Alexandria database. Energies are from PBE-GGA.

- DOS at the Fermi energy (states/eV per atom) = 0.733
- calculated total energy (Ry/atom) = -0.2826
- space group = Cmcm
- magnetization (μB per formula unit) = 0.00
- DFT formation energy (eV/f.u.) = -1.21

Lattice parameters (Å, degrees): 6.002 7.839 7.839 112.44 90.00 90.00
Fractional positions:
Tm: 0.750 0.441 0.158
Tm: 0.250 0.559 0.842
Tm: 0.250 0.842 0.559
Tm: 0.750 0.158 0.441
Cd: 0.750 0.921 0.921
Cd: 0.250 0.079 0.079
Sn: 0.250 0.414 0.414
Sn: 0.750 0.586 0.586
Sn: 0.500 0.200 0.800
Sn: 0.000 0.200 0.800
Sn: 0.500 0.800 0.200
Sn: 0.000 0.800 0.200

No. 3
Here is crystalline Lu2GaAg at its relaxed geometry from the Alexandria database. Energies are from PBE-GGA.

- excess energy over the best structure of this formula in the dataset (meV per atom) = 489
- DOS at the Fermi energy (states/eV per atom) = 0.675
- calculated total energy (Ry/atom) = -0.2726
- space group = R-3m
- magnetization (μB per formula unit) = 0.00
- DFT formation energy (eV/f.u.) = 0.09

Lattice parameters (Å, degrees): 3.352 3.352 10.359 80.69 80.69 60.00
Fractional positions:
Lu: 0.095 0.095 0.715
Lu: 0.905 0.905 0.285
Ga: 0.500 0.500 0.500
Ag: 0.000 0.000 0.000

No. 4
Here is crystalline Eu2ZnBi at its relaxed geometry from the Alexandria database. Energies are from PBE-GGA.

- excess energy over the best structure of this formula in the dataset (meV per atom) = 15
- DOS at the Fermi energy (states/eV per atom) = 0.682
- calculated total energy (Ry/atom) = -0.5128
- space group = Fm-3m
- magnetization (μB per formula unit) = 14.93
- DFT formation energy (eV/f.u.) = -2.21

Lattice parameters (Å, degrees): 5.550 5.550 5.550 60.00 60.00 60.00
Fractional positions:
Eu: 0.250 0.250 0.250
Eu: 0.750 0.750 0.750
Zn: 0.500 0.500 0.500
Bi: 0.000 0.000 0.000

No. 5
Here is crystalline ZrFeBr2 at its relaxed geometry from the Alexandria database. Energies are from PBE-GGA.

- excess energy over the best structure of this formula in the dataset (meV per atom) = 135
- calculated total energy (Ry/atom) = -0.3968
- space group = P3m1
- magnetization (μB per formula unit) = 0.00

Lattice parameters (Å, degrees): 4.037 4.037 7.039 90.05 90.05 59.95
Fractional positions:
Br: 0.958 0.958 0.140
Br: 0.625 0.625 0.648
Fe: 0.625 0.625 0.298
Zr: 0.292 0.292 0.414

No. 6
Here is crystalline Si2TcPbF at its relaxed geometry from the Alexandria database. Energies are from PBE-GGA.

- DOS at the Fermi energy (states/eV per atom) = 0.842
- calculated total energy (Ry/atom) = -0.3482
- space group = P4/mmm
- magnetization (μB per formula unit) = 0.00

Lattice parameters (Å, degrees): 4.627 4.200 4.627 90.00 90.00 90.00
Fractional positions:
Pb: 0.500 0.500 0.500
Si: 0.000 0.000 0.500
Si: 0.500 0.000 0.000
Tc: 0.000 0.500 0.000
F: 0.000 0.000 0.000